No. 1
Mg3ScCu: relaxed, GGA-PBE.

Results
- energy of formation from the pure elements (eV/atom) = 1.25
- offset from the most stable computed form (meV/atom) = 1092.7
- total magnetic moment (μB per cell) = 0.00
- volume (Å³ per atom) = 35.74
- crystal system = cubic

a = 5.6327 Å, b = 5.6327 Å, c = 5.6327 Å
α = 90.00°, β = 90.00°, γ = 90.00°
Sites, in units of the cell vectors:
Sc1 0.0000 0.0000 0.0000
Mg1 0.0000 0.5000 0.0000
Mg2 0.0000 0.0000 0.5000
Mg3 0.5000 0.0000 0.0000
Cu1 0.5000 0.5000 0.5000



No. 2
NdNbAs2Rh5: relaxed, GGA-PBE.

Results
- energy of formation from the pure elements (eV/atom) = -0.28
- total magnetic moment (μB per cell) = 0.00
- volume (Å³ per atom) = 19.89
- crystal system = tetragonal

a = 4.0586 Å, b = 4.0586 Å, c = 10.8685 Å
α = 90.00°, β = 90.00°, γ = 90.00°
Sites, in units of the cell vectors:
Nd1 0.5000 0.5000 0.5000
Nb1 0.0000 0.0000 0.0000
As1 0.0000 0.0000 0.7183
As2 0.0000 0.0000 0.2817
Rh1 0.0000 0.0000 0.5000
Rh2 0.0000 0.5000 0.8494
Rh3 0.5000 0.0000 0.1506
Rh4 0.0000 0.5000 0.1506
Rh5 0.5000 0.0000 0.8494



No. 3
RePb2Cl: relaxed, GGA-PBE.

Results
- offset from the most stable computed form (meV/atom) = 242.7
- total magnetic moment (μB per cell) = 0.00
- energy relative to the elements, uncorrected (kJ per mole of atoms) = 66.47
- volume (Å³ per atom) = 23.74
- crystal system = tetragonal

a = 3.1783 Å, b = 3.1783 Å, c = 9.3999 Å
α = 90.00°, β = 90.00°, γ = 90.00°
Sites, in units of the cell vectors:
Cl1 0.5000 0.5000 0.6744
Pb1 0.0000 0.0000 0.9923
Pb2 0.5000 0.5000 0.3121
Re1 0.0000 0.0000 0.5213



No. 4
Y3HoTm2Se6: relaxed, GGA-PBE.

Results
- total magnetic moment (μB per cell) = 0.00
- energy relative to the elements, uncorrected (kJ per mole of atoms) = -166.40
- volume (Å³ per atom) = 23.61
- crystal system = monoclinic

a = 7.0228 Å, b = 7.0228 Å, c = 7.0577 Å
α = 99.50°, β = 99.50°, γ = 120.34°
Sites, in units of the cell vectors:
Y1 0.1646 0.8354 0.5000
Y2 0.8354 0.1646 0.5000
Y3 0.5000 0.5000 0.5000
Ho1 0.0000 0.0000 0.0000
Tm1 0.3338 0.6662 0.0000
Tm2 0.6662 0.3338 0.0000
Se1 0.9186 0.5824 0.7552
Se2 0.7451 0.7451 0.2435
Se3 0.0814 0.4176 0.2448
Se4 0.5824 0.9186 0.7552
Se5 0.2549 0.2549 0.7565
Se6 0.4176 0.0814 0.2448



No. 5
NaLiCa2Au: relaxed, GGA-PBE.

Results
- energy of formation from the pure elements (eV/atom) = -0.25
- offset from the most stable computed form (meV/atom) = 0.0
- total magnetic moment (μB per cell) = 0.00
- volume (Å³ per atom) = 34.04
- crystal system = tetragonal

a = 5.7728 Å, b = 5.7728 Å, c = 5.1074 Å
α = 90.00°, β = 90.00°, γ = 90.00°
Sites, in units of the cell vectors:
Na1 0.5000 0.5000 0.5000
Ca1 0.0000 0.5000 0.0000
Ca2 0.5000 0.0000 0.0000
Au1 0.0000 0.0000 0.0000
Li1 0.0000 0.0000 0.5000



No. 6
KSBr: relaxed, GGA-PBE.

Results
- offset from the most stable computed form (meV/atom) = 1.8
- total magnetic moment (μB per cell) = 0.00
- energy relative to the elements, uncorrected (kJ per mole of atoms) = -92.21
- volume (Å³ per atom) = 36.66
- crystal system = monoclinic

a = 4.1148 Å, b = 4.9734 Å, c = 11.9991 Å
α = 101.96°, β = 66.84°, γ = 90.00°
Sites, in units of the cell vectors:
K1 0.5720 0.8282 0.6565
K2 0.4280 0.1718 0.3435
S1 0.2526 0.4740 0.9480
S2 0.7474 0.5260 0.0520
Br1 0.0740 0.3274 0.6548
Br2 0.9260 0.6726 0.3452



No. 7
Na4LiPb: relaxed, GGA-PBE.

Results
- energy of formation from the pure elements (eV/atom) = -0.07
- offset from the most stable computed form (meV/atom) = 0.0
- total magnetic moment (μB per cell) = 0.00
- volume (Å³ per atom) = 28.27
- crystal system = monoclinic

a = 5.5962 Å, b = 6.3733 Å, c = 10.0322 Å
α = 71.48°, β = 89.82°, γ = 89.44°
Sites, in units of the cell vectors:
Na1 0.7244 0.3020 0.9186
Na2 0.7756 0.7794 0.9186
Na3 0.7492 0.9535 0.5838
Na4 0.2508 0.0465 0.4162
Na5 0.2492 0.5374 0.4162
Na6 0.2244 0.2206 0.0814
Na7 0.7508 0.4626 0.5838
Na8 0.2756 0.6980 0.0814
Li1 0.2500 0.1197 0.7605
Li2 0.7500 0.8803 0.2395
Pb1 0.7500 0.3693 0.2613
Pb2 0.2500 0.6307 0.7387



No. 8
W2C: relaxed, GGA-PBE.

Results
- energy of formation from the pure elements (eV/atom) = 2.37
- total magnetic moment (μB per cell) = 0.00
- volume (Å³ per atom) = 14.79
- crystal system = hexagonal

a = 4.4018 Å, b = 4.4018 Å, c = 2.6449 Å
α = 90.00°, β = 90.00°, γ = 120.00°
Sites, in units of the cell vectors:
W1 0.6667 0.3333 0.0000
W2 0.3333 0.6667 0.0000
C1 0.0000 0.0000 0.5000



No. 9
BeSi2: relaxed, GGA-PBE.

Results
- offset from the most stable computed form (meV/atom) = 33.6
- total magnetic moment (μB per cell) = 0.00
- energy relative to the elements, uncorrected (kJ per mole of atoms) = 28.05
- volume (Å³ per atom) = 14.74
- crystal system = monoclinic

a = 4.1475 Å, b = 3.8533 Å, c = 5.8681 Å
α = 90.00°, β = 109.45°, γ = 90.00°
Sites, in units of the cell vectors:
Be1 0.5569 0.0000 0.0317
Be2 0.5029 0.5000 0.2179
Si1 0.9925 0.0000 0.8094
Si2 0.1710 0.5000 0.4633
Si3 0.5291 0.0000 0.4426
Si4 0.8741 0.5000 0.0220



No. 10
AcTb2Cu2Ge2: relaxed, GGA-PBE.

Results
- energy of formation from the pure elements (eV/atom) = -0.49
- total magnetic moment (μB per cell) = 0.00
- volume (Å³ per atom) = 23.10
- crystal system = trigonal

a = 4.3774 Å, b = 4.3774 Å, c = 10.0644 Å
α = 77.44°, β = 77.44°, γ = 60.00°
Sites, in units of the cell vectors:
Ac1 0.0000 0.0000 0.0000
Tb1 0.1294 0.1294 0.6119
Tb2 0.8706 0.8706 0.3881
Cu1 0.5891 0.5891 0.2327
Cu2 0.4109 0.4109 0.7673
Ge1 0.7447 0.7447 0.7658
Ge2 0.2553 0.2553 0.2342



No. 11
Ag2AsPb2: relaxed, GGA-PBE.

Results
- energy of formation from the pure elements (eV/atom) = 0.17
- offset from the most stable computed form (meV/atom) = 50.5
- total magnetic moment (μB per cell) = 0.00
- volume (Å³ per atom) = 25.45
- crystal system = tetragonal

a = 3.8534 Å, b = 3.8534 Å, c = 8.9917 Å
α = 77.63°, β = 77.63°, γ = 90.00°
Sites, in units of the cell vectors:
Pb1 0.4036 0.4036 0.1929
Pb2 0.5964 0.5964 0.8071
As1 0.0000 0.0000 0.0000
Ag1 0.7500 0.2500 0.5000
Ag2 0.2500 0.7500 0.5000



No. 12
KCe4Cu3S12: relaxed, GGA-PBE.

Results
- total magnetic moment (μB per cell) = 1.25
- energy relative to the elements, uncorrected (kJ per mole of atoms) = -100.17
- volume (Å³ per atom) = 23.97
- crystal system = cubic

a = 8.5395 Å, b = 8.5395 Å, c = 8.5395 Å
α = 109.47°, β = 109.47°, γ = 109.47°
Each line ends with the local moment (μB).
Sites, in units of the cell vectors:
K1 0.0000 0.0000 0.0000  0.00
Ce1 0.5000 0.0000 0.0000  0.10
Ce2 0.5000 0.5000 0.5000  0.10
Ce3 0.0000 0.5000 0.0000  0.10
Ce4 0.0000 0.0000 0.5000  0.10
Cu1 0.0000 0.5000 0.5000  0.11
Cu2 0.5000 0.5000 0.0000  0.11
Cu3 0.5000 0.0000 0.5000  0.11
S1 0.3282 0.8430 0.1712  0.02
S2 0.6718 0.1570 0.8288  0.02
S3 0.6718 0.8430 0.5148  0.02
S4 0.8288 0.6718 0.1570  0.02
S5 0.8430 0.1712 0.3282  0.02
S6 0.1570 0.4852 0.3282  0.02
S7 0.4852 0.3282 0.1570  0.02
S8 0.1570 0.8288 0.6718  0.02
S9 0.3282 0.1570 0.4852  0.02
S10 0.1712 0.3282 0.8430  0.02
S11 0.8430 0.5148 0.6718  0.02
S12 0.5148 0.6718 0.8430  0.02



| no. | total energy (eV/atom) |
| --- | --- |
| 1 | -1.79 |
| 2 | -7.04 |
| 3 | -4.74 |
| 4 | -6.21 |
| 5 | -2.35 |
| 6 | -3.25 |
| 7 | -1.89 |
| 8 | -9.34 |
| 9 | -4.57 |
| 10 | -4.88 |
| 11 | -3.38 |
| 12 | -5.37 |